Model 1:
The following is a PBE-GGA calculation of crystalline BaPt2W at its relaxed geometry, from Alexandria via LeMat-Bulk.

Properties
The space-group type is Immm.

Cell and atoms, written as POSCAR:
```
BaPt2W
1.0
5.626 -0.001 0.005
1.184 5.500 -0.005
-2.519 -3.846 3.243
W Ba Pt
1 1 2
direct
0.750 0.250 0.500
0.250 0.750 0.500
0.934 0.934 0.000
0.566 0.566 0.000
```


Model 2:
The following is a PBE-GGA calculation of crystalline BaPt2W at its relaxed geometry, from Alexandria via LeMat-Bulk.

Properties
The space-group type is R-3m.

Cell and atoms, written as POSCAR:
```
BaPt2W
1.0
-1.295 3.990 -1.610
-3.566 0.275 -2.719
-5.111 2.164 3.216
Pt W Ba
2 1 1
direct
0.057 0.057 0.830
0.443 0.443 0.670
0.750 0.750 0.750
0.250 0.250 0.250
```


Model 3:
The following is a PBE-GGA calculation of crystalline BaPt2W at its relaxed geometry, from Alexandria via LeMat-Bulk.

Properties
The space-group type is Imm2.

Cell and atoms, written as POSCAR:
```
BaPt2W
1.0
-1.838 5.051 -3.214
-0.289 0.209 -6.253
-1.745 -2.233 5.585
Ba W Pt
1 1 2
direct
0.251 0.751 0.500
0.534 0.534 0.000
0.738 0.238 0.500
0.977 0.977 0.000
```


Which is the most stable structure? model 2 is the most stable.


Model 1:
The following is a PBE-GGA calculation of crystalline BaPt2W at its relaxed geometry, from Alexandria via LeMat-Bulk.

Properties
The space-group type is F-43m.

Cell and atoms, written as POSCAR:
```
BaPt2W
1.0
-4.333 -1.886 0.905
-0.365 -4.502 1.659
-1.381 -0.786 4.542
Pt W Ba
2 1 1
direct
0.250 0.250 0.250
0.000 0.000 0.000
0.750 0.750 0.750
0.500 0.500 0.500
```


Model 2:
The following is a PBE-GGA calculation of crystalline BaPt2W at its relaxed geometry, from Alexandria via LeMat-Bulk.

Properties
The space-group type is I-42d.

Cell and atoms, written as POSCAR:
```
BaPt2W
1.0
-1.143 2.628 7.127
-7.376 1.338 -1.676
-5.138 -1.449 3.850
Ba Pt W
2 4 2
direct
0.250 0.750 0.500
0.500 0.500 0.000
0.875 0.967 0.750
0.033 0.625 0.250
0.375 0.283 0.750
0.717 0.125 0.250
0.000 0.000 0.000
0.750 0.250 0.500
```


Model 3:
The following is a PBE-GGA calculation of crystalline BaPt2W at its relaxed geometry, from Alexandria via LeMat-Bulk.

Properties
The space-group type is P4/mmm.

Cell and atoms, written as POSCAR:
```
BaPt2W
1.0
3.244 0.000 0.000
0.000 3.244 0.000
0.000 0.000 8.038
Pt W Ba
2 1 1
direct
0.000 0.000 0.066
0.000 0.000 0.434
0.500 0.500 0.250
0.500 0.500 0.750
```


Which is the most stable structure? model 3 is the most stable.


Model 1:
The following is a PBE-GGA calculation of crystalline BaPt2W at its relaxed geometry, from Alexandria via LeMat-Bulk.

Properties
The space-group type is Cm.

Cell and atoms, written as POSCAR:
```
BaPt2W
1.0
4.471 -0.005 0.054
2.239 3.870 0.054
2.171 1.251 6.113
Pt Ba W
2 1 1
direct
0.772 0.772 0.683
0.054 0.054 0.836
0.245 0.245 0.268
0.429 0.429 0.713
```


Model 2:
The following is a PBE-GGA calculation of crystalline BaPt2W at its relaxed geometry, from Alexandria via LeMat-Bulk.

Properties
The space-group type is Pmm2.

Cell and atoms, written as POSCAR:
```
BaPt2W
1.0
2.958 0.000 0.000
0.000 3.971 0.000
0.000 0.000 7.473
Pt Ba W
2 1 1
direct
0.000 0.000 0.059
0.500 0.500 0.269
0.500 0.500 0.765
0.000 0.000 0.407
```


Which is the most stable structure? model 1 is the most stable.


Model 1:
The following is a PBE-GGA calculation of crystalline BaPt2W at its relaxed geometry, from Alexandria via LeMat-Bulk.

Properties
The space-group type is P4/mmm.

Cell and atoms, written as POSCAR:
```
BaPt2W
1.0
8.032 -0.002 -0.004
-3.480 3.983 0.006
1.072 0.935 2.567
Ba W Pt
1 1 2
direct
0.500 0.500 0.000
0.000 0.500 0.500
0.500 0.000 0.500
0.000 0.000 0.000
```


Model 2:
The following is a PBE-GGA calculation of crystalline BaPt2W at its relaxed geometry, from Alexandria via LeMat-Bulk.

Properties
The space-group type is Pmm2.

Cell and atoms, written as POSCAR:
```
BaPt2W
1.0
4.264 0.000 0.000
0.000 3.045 0.005
0.000 -0.012 7.462
W Pt Ba
1 2 1
direct
0.000 0.625 0.308
0.500 0.125 0.386
0.000 0.125 0.031
0.500 0.625 0.775
```


Which is the most stable structure? model 2 is the most stable.


Model 1:
The following is a PBE-GGA calculation of crystalline BaPt2W2 at its relaxed geometry, from Alexandria via LeMat-Bulk.

Properties
The space-group type is I4/mmm.

Cell and atoms, written as POSCAR:
```
BaPt2W2
1.0
3.903 0.000 0.000
0.000 3.903 0.000
1.952 1.952 6.956
Pt Ba W
2 1 2
direct
0.388 0.388 0.225
0.612 0.612 0.775
0.000 0.000 0.000
0.750 0.250 0.500
0.250 0.750 0.500
```


Model 2:
The following is a PBE-GGA calculation of crystalline BaPt2W2 at its relaxed geometry, from Alexandria via LeMat-Bulk.

Properties
The space-group type is P4/mbm.

Cell and atoms, written as POSCAR:
```
BaPt2W2
1.0
-6.932 -0.885 4.455
-3.067 -5.084 -5.782
1.134 -2.196 1.329
Ba Pt W
2 4 4
direct
0.500 0.500 0.000
0.000 0.000 0.000
0.621 0.121 0.000
0.379 0.879 0.000
0.121 0.379 0.000
0.879 0.621 0.000
0.830 0.330 0.500
0.170 0.670 0.500
0.670 0.830 0.500
0.330 0.170 0.500
```


Which is the most stable structure? model 1 is the most stable.


Model 1:
The following is a PBE-GGA calculation of crystalline BaPt3W at its relaxed geometry, from Alexandria via LeMat-Bulk.

Properties
The space-group type is Pm-3m.

Cell and atoms, written as POSCAR:
```
BaPt3W
1.0
4.990 0.000 0.000
0.000 4.990 0.000
0.000 0.000 4.990
Pt W Ba
3 1 1
direct
0.000 0.500 0.000
0.500 0.000 0.000
0.000 0.000 0.500
0.000 0.000 0.000
0.500 0.500 0.500
```


Model 2:
The following is a PBE-GGA calculation of crystalline BaPt3W at its relaxed geometry, from Alexandria via LeMat-Bulk.

Properties
The space-group type is Pm-3m.

Cell and atoms, written as POSCAR:
```
BaPt3W
1.0
-1.974 2.273 4.180
-1.890 -4.528 1.570
4.367 -0.933 2.569
Ba Pt W
1 3 1
direct
0.000 0.000 0.000
0.500 0.000 0.000
0.000 0.500 0.000
0.000 0.000 0.500
0.500 0.500 0.500
```


Which is the most stable structure? model 1 is the most stable.